This record from Alexandria describes TmCd2IrO6 after structural relaxation. The functional is GGA-PBE.

Summary:
For the mass density, the calculation gives 8.66 Mg/m³. Its electronic total energy is -60.32 eV/cell. As for the crystal system: trigonal. The density of states at the Fermi level is 0.387 states/eV/atom.

Cell: 5.770 5.770 5.770 Å, 58.37 58.37 58.37°
Atoms (fractional coordinates):
1 Tm 0.000 0.000 0.000
2 Cd 0.268 0.268 0.268
3 Cd 0.771 0.771 0.771
4 Ir 0.497 0.497 0.497
5 O 0.155 0.717 0.370
6 O 0.254 0.626 0.837
7 O 0.370 0.155 0.717
8 O 0.626 0.837 0.254
9 O 0.717 0.370 0.155
10 O 0.837 0.254 0.626

=====

This record from Alexandria describes Tm2CdIrO8 after structural relaxation. The functional is GGA-PBE.

Summary:
For the mass density, the calculation gives 7.73 Mg/m³. Its electronic total energy is -80.12 eV/cell. As for the crystal system: monoclinic. The density of states at the Fermi level is 0.434 states/eV/atom.

Cell: 4.878 6.947 4.888 Å, 90.00 92.19 90.00°
Atoms (fractional coordinates):
1 Tm 0.000 0.246 0.000
2 Tm 0.000 0.754 0.000
3 Cd 0.500 0.000 0.500
4 Ir 0.500 0.500 0.500
5 O 0.195 0.000 0.194
6 O 0.217 0.500 0.216
7 O 0.313 0.304 0.686
8 O 0.313 0.696 0.686
9 O 0.687 0.304 0.314
10 O 0.687 0.696 0.314
11 O 0.783 0.500 0.784
12 O 0.805 0.000 0.806